[1]
Sr5Li2Pt after structural relaxation. Source: Alexandria, functional PBE.

The structure in CIF format:
```
data_Sr5Li2Pt
_chemical_formula_sum 'Sr20 Li8 Pt4'
_symmetry_space_group_name_H-M 'C 1 2/c 1'
_symmetry_Int_Tables_number 15
_cell_length_a 19.531
_cell_length_b 7.340
_cell_length_c 9.048
_cell_angle_alpha 90.00
_cell_angle_beta 97.46
_cell_angle_gamma 90.00
loop_
_symmetry_equiv_pos_as_xyz
'x,y,z'
'-x,-y,-z'
'-x,y,-z+1/2'
'x,-y,z+1/2'
'x+1/2,y+1/2,z'
'-x+1/2,-y+1/2,-z'
'-x+1/2,y+1/2,-z+1/2'
'x+1/2,-y+1/2,z+1/2'
loop_
_atom_site_label
_atom_site_fract_x
_atom_site_fract_y
_atom_site_fract_z
_atom_site_occupancy
Sr1 0.000 0.117 0.250 1
Sr2 0.102 0.366 0.929 1
Sr3 0.223 0.089 0.304 1
Li1 0.105 0.174 0.572 1
Pt1 0.250 0.250 0.000 1
```

density of states at the Fermi level: 25.953 states/eV/cell
V: 40.2 A^3/atom
formation energy: -0.22 eV per atom


[2]
MgZr2Cd after structural relaxation. Source: Alexandria, functional PBE.

The structure in CIF format:
```
data_MgZr2Cd
_chemical_formula_sum 'Mg4 Zr8 Cd4'
_symmetry_space_group_name_H-M 'I -4 2 d'
_symmetry_Int_Tables_number 122
_symmetry_space_group_name_Hall 'I -4 2bw'
_cell_length_a 8.149
_cell_length_b 8.149
_cell_length_c 5.585
_cell_angle_alpha 90.00
_cell_angle_beta 90.00
_cell_angle_gamma 90.00
loop_
_atom_site_label
_atom_site_fract_x
_atom_site_fract_y
_atom_site_fract_z
_atom_site_occupancy
Mg1 0.000 0.000 0.000 1
Zr1 0.243 0.750 0.625 1
Cd1 0.000 0.000 0.500 1
```

density of states at the Fermi level: 13.441 states/eV/cell
V: 23.2 A^3/atom
formation energy: 0.34 eV per atom


[3]
InSeI2N after structural relaxation. Source: Alexandria, functional PBE.

The structure in CIF format:
```
data_InSeI2N
_chemical_formula_sum 'In1 Se1 I2 N1'
_symmetry_space_group_name_H-M 'P 4/m m m'
_symmetry_Int_Tables_number 123
_symmetry_space_group_name_Hall '-P 4 2'
_cell_length_a 6.350
_cell_length_b 6.350
_cell_length_c 3.732
_cell_angle_alpha 90.00
_cell_angle_beta 90.00
_cell_angle_gamma 90.00
loop_
_atom_site_label
_atom_site_fract_x
_atom_site_fract_y
_atom_site_fract_z
_atom_site_occupancy
In1 0.000 0.000 0.000 1
Se1 0.500 0.500 0.500 1
I1 0.000 0.500 0.500 1
N1 0.500 0.500 0.000 1
```

density of states at the Fermi level: 2.472 states/eV/cell
V: 30.1 A^3/atom
uncorrected formation energy: 0.52 eV/atom